[1]
A geometry-optimized AcDyBe structure, computed with PBE.

Cell: 7.151 7.151 7.151 Å, 90.00 90.00 90.00°
Space group F-43m (No. 216)
Symmetry-distinct sites (fractional):
Ac  0.000  0.000  0.000 (multiplicity 4)
Dy  0.250  0.250  0.250 (multiplicity 4)
Be  0.250  0.250  0.750 (multiplicity 4)

Summary:
total DFT energy (no corrections): -3.07 eV per atom
total moment: 0.00 μB/atom
polymorph energy (0 for the lowest one): 717 meV per atom

---

[2]
A geometry-optimized HfMoPd structure, computed with PBE.

Cell: 6.217 6.217 6.217 Å, 90.00 90.00 90.00°
Space group F-43m (No. 216)
Symmetry-distinct sites (fractional):
Hf  0.000  0.000  0.000 (multiplicity 4)
Mo  0.000  0.000  0.500 (multiplicity 4)
Pd  0.250  0.250  0.250 (multiplicity 4)

Summary:
total DFT energy (no corrections): -8.24 eV per atom
energy of formation: 0.4176 eV/atom
total moment: 0.03 μB/atom
polymorph energy (0 for the lowest one): 0 meV per atom

---

[3]
A geometry-optimized Dy3Fe6CoNi2 structure, computed with PBE.

Cell: 5.0052 5.0052 24.6794 Å, 90.00 90.00 120.00°
Space group R-3m (No. 166, hexagonal axes)
Symmetry-distinct sites (fractional):
Dy  0.0000  0.0000  0.0000 (multiplicity 3)
Dy  0.0000  0.0000  0.1419 (multiplicity 6)
Fe  0.0002  0.5001  0.0821 (multiplicity 18)
Co  0.0000  0.0000  0.5000 (multiplicity 3)
Ni  0.0000  0.0000  0.3326 (multiplicity 6)

Summary:
total DFT energy (no corrections): -6.97 eV per atom
energy of formation: -0.1476 eV/atom
total moment: 1.18 μB/atom

---

[4]
A geometry-optimized PuH structure, computed with PBE.

Cell: 5.097 5.097 5.097 Å, 90.00 90.00 90.00°
Space group F-43m (No. 216)
Symmetry-distinct sites (fractional):
Pu  0.000  0.000  0.000 (multiplicity 4)
H  0.250  0.250  0.250 (multiplicity 4)

Summary:
total DFT energy (no corrections): -8.91 eV per atom
total moment: 2.87 μB/atom

---

[5]
A geometry-optimized BAsIr structure, computed with PBE.

Cell: 5.461 5.461 5.461 Å, 90.00 90.00 90.00°
Space group F-43m (No. 216)
Symmetry-distinct sites (fractional):
B  0.000  0.000  0.000 (multiplicity 4)
As  0.250  0.250  0.750 (multiplicity 4)
Ir  0.250  0.250  0.250 (multiplicity 4)

Summary:
total DFT energy (no corrections): -6.06 eV per atom
total moment: 0.00 μB/atom

---

[6]
A geometry-optimized SbAsPd5 structure, computed with PBE.

Cell: 12.348 12.348 12.348 Å, 90.00 90.00 90.00°
Space group Fd-3m (No. 227, origin choice 2)
Symmetry-distinct sites (fractional):
Sb  0.000  0.000  0.000 (multiplicity 16)
As  0.000  0.000  0.500 (multiplicity 16)
Pd  0.035  0.035  0.215 (multiplicity 32)
Pd  0.089  0.375  0.875 (multiplicity 48)

Summary:
total DFT energy (no corrections): -5.33 eV per atom

---

[7]
A geometry-optimized Nd2ZnAs2PdO2 structure, computed with PBE.

Cell: 4.060 4.060 8.835 Å, 90.00 90.00 90.00°
Space group P-4m2 (No. 115)
Symmetry-distinct sites (fractional):
Nd  0.000  0.500  0.133 (multiplicity 2)
Zn  0.500  0.500  0.500 (multiplicity 1)
As  0.000  0.500  0.677 (multiplicity 2)
Pd  0.000  0.000  0.500 (multiplicity 1)
O  0.000  0.000  0.000 (multiplicity 1)
O  0.500  0.500  0.000 (multiplicity 1)

Summary:
total DFT energy (no corrections): -6.17 eV per atom
total moment: 0.00 μB/atom

---

[8]
A geometry-optimized PrNdPb2Au4 structure, computed with PBE.

Cell: 4.8924 4.8924 9.4932 Å, 90.00 90.00 120.00°
Space group P-6m2 (No. 187)
Symmetry-distinct sites (fractional):
Pr  0.0000  0.0000  0.0000 (multiplicity 1)
Nd  0.6667  0.3333  0.5000 (multiplicity 1)
Pb  0.3333  0.6667  0.2503 (multiplicity 2)
Au  0.0000  0.0000  0.3512 (multiplicity 2)
Au  0.6667  0.3333  0.1499 (multiplicity 2)

Summary:
total DFT energy (no corrections): -4.34 eV per atom
total moment: 0.00 μB/atom

---

[9]
A geometry-optimized LaAlNi structure, computed with PBE.

Cell: 6.732 6.732 6.732 Å, 90.00 90.00 90.00°
Space group F-43m (No. 216)
Symmetry-distinct sites (fractional):
La  0.000  0.000  0.000 (multiplicity 4)
Al  0.250  0.250  0.750 (multiplicity 4)
Ni  0.250  0.250  0.250 (multiplicity 4)

Summary:
total DFT energy (no corrections): -4.26 eV per atom
total moment: 0.00 μB/atom

---

[10]
A geometry-optimized Er3Co2B2P3 structure, computed with PBE.

Cell: 3.826 3.826 21.774 Å, 90.00 90.00 90.00°
Space group I4/mmm (No. 139)
Symmetry-distinct sites (fractional):
Er  0.000  0.000  0.000 (multiplicity 2)
Er  0.000  0.000  0.362 (multiplicity 4)
Co  0.000  0.500  0.250 (multiplicity 4)
B  0.000  0.000  0.214 (multiplicity 4)
P  0.000  0.000  0.124 (multiplicity 4)
P  0.000  0.000  0.500 (multiplicity 2)

Summary:
total DFT energy (no corrections): -6.64 eV per atom
total moment: 0.00 μB/atom

---

[11]
A geometry-optimized AlPOsO structure, computed with PBE.

Cell: 3.846 3.846 8.400 Å, 90.00 90.00 90.00°
Space group P4/nmm (No. 129, origin choice 2)
Symmetry-distinct sites (fractional):
Al  0.250  0.250  0.073 (multiplicity 2)
P  0.250  0.250  0.349 (multiplicity 2)
Os  0.250  0.750  0.500 (multiplicity 2)
O  0.250  0.750  0.000 (multiplicity 2)

Summary:
total DFT energy (no corrections): -7.52 eV per atom
total moment: 0.00 μB/atom
polymorph energy (0 for the lowest one): 0 meV per atom

---

[12]
A geometry-optimized TbInNi4 structure, computed with PBE.

Cell: 7.047 7.047 7.047 Å, 90.00 90.00 90.00°
Space group F-43m (No. 216)
Symmetry-distinct sites (fractional):
Tb  0.000  0.000  0.000 (multiplicity 4)
In  0.250  0.250  0.750 (multiplicity 4)
Ni  0.124  0.124  0.376 (multiplicity 16)

Summary:
total DFT energy (no corrections): -5.33 eV per atom
total moment: 0.00 μB/atom

---

[13]
A geometry-optimized NiAgGePd structure, computed with PBE.

Cell: 6.180 6.180 6.180 Å, 90.00 90.00 90.00°
Space group F-43m (No. 216)
Symmetry-distinct sites (fractional):
Ni  0.000  0.000  0.000 (multiplicity 4)
Ag  0.250  0.250  0.250 (multiplicity 4)
Ge  0.250  0.250  0.750 (multiplicity 4)
Pd  0.000  0.000  0.500 (multiplicity 4)

Summary:
total DFT energy (no corrections): -4.63 eV per atom
total moment: 0.00 μB/atom

---

[14]
A geometry-optimized Ni15As structure, computed with PBE.

Cell: 4.291 33.431 4.291 Å, 90.00 109.77 90.00°
Space group P2/c (No. 13)
Symmetry-distinct sites (fractional):
Ni  0.000  0.019  0.250 (multiplicity 2)
Ni  0.000  0.055  0.750 (multiplicity 2)
Ni  0.000  0.092  0.250 (multiplicity 2)
Ni  0.000  0.129  0.750 (multiplicity 2)
Ni  0.000  0.166  0.250 (multiplicity 2)
Ni  0.000  0.203  0.750 (multiplicity 2)
Ni  0.000  0.242  0.250 (multiplicity 2)
Ni  0.000  0.277  0.750 (multiplicity 2)
Ni  0.500  0.019  0.750 (multiplicity 2)
Ni  0.500  0.055  0.250 (multiplicity 2)
Ni  0.500  0.092  0.750 (multiplicity 2)
Ni  0.500  0.129  0.250 (multiplicity 2)
Ni  0.500  0.166  0.750 (multiplicity 2)
Ni  0.500  0.203  0.250 (multiplicity 2)
Ni  0.500  0.242  0.750 (multiplicity 2)
As  0.500  0.277  0.250 (multiplicity 2)

Summary:
total DFT energy (no corrections): -5.49 eV per atom
total moment: 0.43 μB/atom
polymorph energy (0 for the lowest one): 0 meV per atom

---

[15]
A geometry-optimized HoEr2 structure, computed with PBE.

Cell: 9.167 9.167 9.167 Å, 90.00 90.00 90.00°
Space group Fd-3m (No. 227, origin choice 2)
Symmetry-distinct sites (fractional):
Ho  0.125  0.125  0.125 (multiplicity 8)
Er  0.000  0.000  0.500 (multiplicity 16)

Summary:
total DFT energy (no corrections): -4.30 eV per atom
energy of formation: 0.2707 eV/atom
total moment: 0.04 μB/atom
polymorph energy (0 for the lowest one): 272 meV per atom

---

[16]
A geometry-optimized LaNdZn6Ge3 structure, computed with PBE.

Cell: 4.130 13.338 7.700 Å, 90.00 90.00 90.00°
Space group Pmm2 (No. 25)
Symmetry-distinct sites (fractional):
La  0.000  0.167  0.000 (multiplicity 2)
Nd  0.000  0.334  0.499 (multiplicity 2)
Zn  0.000  0.000  0.311 (multiplicity 1)
Zn  0.000  0.095  0.592 (multiplicity 2)
Zn  0.000  0.406  0.096 (multiplicity 2)
Zn  0.000  0.500  0.811 (multiplicity 1)
Zn  0.500  0.000  0.788 (multiplicity 1)
Zn  0.500  0.145  0.356 (multiplicity 2)
Zn  0.500  0.356  0.854 (multiplicity 2)
Zn  0.500  0.500  0.290 (multiplicity 1)
Ge  0.500  0.000  0.120 (multiplicity 1)
Ge  0.500  0.191  0.689 (multiplicity 2)
Ge  0.500  0.310  0.191 (multiplicity 2)
Ge  0.500  0.500  0.618 (multiplicity 1)

Summary:
total DFT energy (no corrections): -3.27 eV per atom
total moment: 0.00 μB/atom

---

[17]
A geometry-optimized Ta5Re7 structure, computed with PBE.

Cell: 5.2420 5.2420 16.8638 Å, 90.00 90.00 120.00°
Space group P6_3/mmc (No. 194)
Symmetry-distinct sites (fractional):
Ta  0.0000  0.5000  0.0000 (multiplicity 6)
Ta  0.3333  0.6667  0.1621 (multiplicity 4)
Re  0.0000  0.0000  0.0923 (multiplicity 4)
Re  0.1603  0.3205  0.7500 (multiplicity 6)
Re  0.3333  0.6667  0.6302 (multiplicity 4)

Summary:
total DFT energy (no corrections): -12.02 eV per atom
energy of formation: 0.1614 eV/atom
total moment: 0.01 μB/atom
polymorph energy (0 for the lowest one): 10 meV per atom

---

[18]
A geometry-optimized LaSm2SbO6 structure, computed with PBE.

Cell: 5.833 6.108 10.472 Å, 90.00 123.44 90.00°
Space group P2_1/c (No. 14)
Symmetry-distinct sites (fractional):
La  0.000  0.000  0.000 (multiplicity 2)
Sm  0.265  0.053  0.745 (multiplicity 4)
Sb  0.500  0.000  0.500 (multiplicity 2)
O  0.094  0.094  0.256 (multiplicity 4)
O  0.261  0.680  0.075 (multiplicity 4)
O  0.411  0.194  0.091 (multiplicity 4)

Summary:
total DFT energy (no corrections): -7.55 eV per atom
total moment: 0.00 μB/atom

---

[19]
A geometry-optimized KNbIr structure, computed with PBE.

Cell: 6.377 6.377 6.377 Å, 90.00 90.00 90.00°
Space group F-43m (No. 216)
Symmetry-distinct sites (fractional):
K  0.000  0.000  0.000 (multiplicity 4)
Nb  0.250  0.250  0.250 (multiplicity 4)
Ir  0.250  0.250  0.750 (multiplicity 4)

Summary:
total DFT energy (no corrections): -4.28 eV per atom
total moment: 0.01 μB/atom
polymorph energy (0 for the lowest one): 1273 meV per atom

---

[20]
A geometry-optimized PrDyNi4 structure, computed with PBE.

Cell: 7.230 7.230 7.230 Å, 90.00 90.00 90.00°
Space group F-43m (No. 216)
Symmetry-distinct sites (fractional):
Pr  0.000  0.000  0.000 (multiplicity 4)
Dy  0.250  0.250  0.250 (multiplicity 4)
Ni  0.124  0.124  0.624 (multiplicity 16)

Summary:
total DFT energy (no corrections): -5.64 eV per atom
energy of formation: -0.3627 eV/atom
total moment: 0.00 μB/atom

---

[21]
A geometry-optimized Ag2SeO structure, computed with PBE.

Cell: 6.407 3.478 12.576 Å, 90.00 90.00 90.00°
Space group Pnma (No. 62)
Symmetry-distinct sites (fractional):
Ag  0.026  0.250  0.250 (multiplicity 4)
Ag  0.242  0.250  0.530 (multiplicity 4)
Se  0.227  0.250  0.882 (multiplicity 4)
O  0.224  0.750  0.639 (multiplicity 4)

Summary:
total DFT energy (no corrections): -3.56 eV per atom
polymorph energy (0 for the lowest one): 1 meV per atom

---

[22]
A geometry-optimized PmGePt structure, computed with PBE.

Cell: 4.4686 4.4686 3.6947 Å, 90.00 90.00 120.00°
Space group P-6m2 (No. 187)
Symmetry-distinct sites (fractional):
Pm  0.0000  0.0000  0.0000 (multiplicity 1)
Ge  0.3333  0.6667  0.5000 (multiplicity 1)
Pt  0.6667  0.3333  0.5000 (multiplicity 1)

Summary:
total DFT energy (no corrections): -6.20 eV per atom
total moment: 0.00 μB/atom
polymorph energy (0 for the lowest one): 0 meV per atom